(1)
CrCoP2 | PBE-GGA | relaxed

Energy relative to the lowest polymorph listed for this composition = 343 meV/atom

CIF file:
```
data_CrCoP2
_chemical_formula_sum 'Cr1 Co1 P2'
_cell_length_a 2.681
_cell_length_b 2.681
_cell_length_c 7.507
_cell_angle_alpha 90.00
_cell_angle_beta 90.00
_cell_angle_gamma 90.00
_symmetry_space_group_name_H-M 'P 4 m m'
_symmetry_Int_Tables_number 99
_symmetry_space_group_name_Hall 'P 4 -2'
loop_
_atom_site_label
_atom_site_fract_x
_atom_site_fract_y
_atom_site_fract_z
_atom_site_occupancy
Cr1 0.000 0.000 0.000 1
Co1 0.500 0.500 0.767 1
P1 0.000 0.000 0.594 1
P2 0.500 0.500 0.206 1
```

=====

(2)
K2Sb3O8 | PBE-GGA | relaxed

DFT total energy = -5.679 eV/atom

CIF file:
```
data_K2Sb3O8
_chemical_formula_sum 'K4 Sb6 O16'
_cell_length_a 13.144
_cell_length_b 6.559
_cell_length_c 5.421
_cell_angle_alpha 90.00
_cell_angle_beta 108.81
_cell_angle_gamma 90.00
_symmetry_space_group_name_H-M 'C 1 2/m 1'
_symmetry_Int_Tables_number 12
_symmetry_space_group_name_Hall '-C 2y'
loop_
_atom_site_label
_atom_site_fract_x
_atom_site_fract_y
_atom_site_fract_z
_atom_site_occupancy
K1 0.222 0.000 0.162 1
Sb1 0.000 0.236 0.500 1
Sb2 0.000 0.500 0.000 1
O1 0.085 0.285 0.884 1
O2 0.087 0.500 0.396 1
O3 0.096 0.000 0.472 1
```

=====

(3)
Pu2ThTcC4 | PBE-GGA | relaxed

DFT total energy = -10.394 eV/atom

CIF file:
```
data_Pu2ThTcC4
_chemical_formula_sum 'Pu8 Th4 Tc4 C16'
_cell_length_a 3.502
_cell_length_b 11.887
_cell_length_c 12.126
_cell_angle_alpha 90.00
_cell_angle_beta 90.00
_cell_angle_gamma 90.00
_symmetry_space_group_name_H-M 'C m c m'
_symmetry_Int_Tables_number 63
_symmetry_space_group_name_Hall '-C 2c 2'
loop_
_atom_site_label
_atom_site_fract_x
_atom_site_fract_y
_atom_site_fract_z
_atom_site_occupancy
Pu1 0.000 0.131 0.041 1
Th1 0.000 0.399 0.250 1
Tc1 0.000 0.340 0.750 1
C1 0.000 0.064 0.250 1
C2 0.000 0.238 0.627 1
C3 0.000 0.500 0.000 1
```

=====

(4)
ZrMnIrRu2 | PBE-GGA | relaxed

DFT total energy = -7.387 eV/atom

CIF file:
```
data_ZrMnIrRu2
_chemical_formula_sum 'Zr1 Mn1 Ir1 Ru2'
_cell_length_a 4.653
_cell_length_b 4.653
_cell_length_c 4.935
_cell_angle_alpha 90.00
_cell_angle_beta 90.00
_cell_angle_gamma 90.00
_symmetry_space_group_name_H-M 'P 4/m m m'
_symmetry_Int_Tables_number 123
_symmetry_space_group_name_Hall '-P 4 2'
loop_
_atom_site_label
_atom_site_fract_x
_atom_site_fract_y
_atom_site_fract_z
_atom_site_occupancy
Zr1 0.000 0.000 0.000 1
Mn1 0.500 0.500 0.000 1
Ir1 0.000 0.000 0.500 1
Ru1 0.000 0.500 0.500 1
```

=====

(5)
Cs2SmGa2O6 | PBE-GGA | relaxed

DFT total energy = -5.714 eV/atom

CIF file:
```
data_Cs2SmGa2O6
_chemical_formula_sum 'Cs6 Sm3 Ga6 O18'
_cell_length_a 6.2935
_cell_length_b 6.2935
_cell_length_c 19.8582
_cell_angle_alpha 90.00
_cell_angle_beta 90.00
_cell_angle_gamma 120.00
_symmetry_space_group_name_H-M 'R -3 m'
_symmetry_Int_Tables_number 166
_symmetry_space_group_name_Hall '-R 3 2"'
loop_
_atom_site_label
_atom_site_fract_x
_atom_site_fract_y
_atom_site_fract_z
_atom_site_occupancy
Cs1 0.0000 0.0000 0.2076 1
Sm1 0.0000 0.0000 0.0000 1
Ga1 0.0000 0.0000 0.4040 1
O1 0.0053 0.5027 0.2609 1
```

=====

(6)
Ba2CoAu | PBE-GGA | relaxed

Energy relative to the lowest polymorph listed for this composition = 118 meV/atom

CIF file:
```
data_Ba2CoAu
_chemical_formula_sum 'Ba4 Co2 Au2'
_cell_length_a 7.885
_cell_length_b 7.903
_cell_length_c 3.937
_cell_angle_alpha 90.00
_cell_angle_beta 90.00
_cell_angle_gamma 90.00
_symmetry_space_group_name_H-M 'C m m m'
_symmetry_Int_Tables_number 65
_symmetry_space_group_name_Hall '-C 2 2'
loop_
_atom_site_label
_atom_site_fract_x
_atom_site_fract_y
_atom_site_fract_z
_atom_site_occupancy
Ba1 0.250 0.250 0.000 1
Co1 0.000 0.000 0.500 1
Au1 0.000 0.500 0.500 1
```

=====

(7)
Ce2GdOs | PBE-GGA | relaxed

Energy relative to the lowest polymorph listed for this composition = 0 meV/atom

CIF file:
```
data_Ce2GdOs
_chemical_formula_sum 'Ce2 Gd1 Os1'
_cell_length_a 3.540
_cell_length_b 3.540
_cell_length_c 8.429
_cell_angle_alpha 90.00
_cell_angle_beta 90.00
_cell_angle_gamma 90.00
_symmetry_space_group_name_H-M 'P 4/m m m'
_symmetry_Int_Tables_number 123
_symmetry_space_group_name_Hall '-P 4 2'
loop_
_atom_site_label
_atom_site_fract_x
_atom_site_fract_y
_atom_site_fract_z
_atom_site_occupancy
Ce1 0.000 0.000 0.191 1
Gd1 0.500 0.500 0.500 1
Os1 0.500 0.500 0.000 1
```

=====

(8)
BaAgIr2 | PBE-GGA | relaxed

Energy relative to the lowest polymorph listed for this composition = 908 meV/atom

CIF file:
```
data_BaAgIr2
_chemical_formula_sum 'Ba4 Ag4 Ir8'
_cell_length_a 6.921
_cell_length_b 6.921
_cell_length_c 6.921
_cell_angle_alpha 90.00
_cell_angle_beta 90.00
_cell_angle_gamma 90.00
_symmetry_space_group_name_H-M 'F m -3 m'
_symmetry_Int_Tables_number 225
_symmetry_space_group_name_Hall '-F 4 2 3'
loop_
_atom_site_label
_atom_site_fract_x
_atom_site_fract_y
_atom_site_fract_z
_atom_site_occupancy
Ba1 0.000 0.000 0.000 1
Ag1 0.000 0.000 0.500 1
Ir1 0.250 0.250 0.250 1
```

=====

(9)
HfNbSi2Sb | PBE-GGA | relaxed

DFT total energy = -5.353 eV/atom

CIF file:
```
data_HfNbSi2Sb
_chemical_formula_sum 'Hf1 Nb1 Si2 Sb1'
_cell_length_a 4.986
_cell_length_b 4.986
_cell_length_c 5.300
_cell_angle_alpha 90.00
_cell_angle_beta 90.00
_cell_angle_gamma 90.00
_symmetry_space_group_name_H-M 'P 4/m m m'
_symmetry_Int_Tables_number 123
_symmetry_space_group_name_Hall '-P 4 2'
loop_
_atom_site_label
_atom_site_fract_x
_atom_site_fract_y
_atom_site_fract_z
_atom_site_occupancy
Hf1 0.000 0.000 0.000 1
Nb1 0.500 0.500 0.000 1
Si1 0.000 0.500 0.500 1
Sb1 0.000 0.000 0.500 1
```

=====

(10)
Dy7Ho3Cd | PBE-GGA | relaxed

DFT total energy = -4.096 eV/atom

CIF file:
```
data_Dy7Ho3Cd
_chemical_formula_sum 'Dy7 Ho3 Cd1'
_cell_length_a 6.9274
_cell_length_b 6.9274
_cell_length_c 8.4915
_cell_angle_alpha 90.00
_cell_angle_beta 90.00
_cell_angle_gamma 120.00
_symmetry_space_group_name_H-M 'P 3 m 1'
_symmetry_Int_Tables_number 156
_symmetry_space_group_name_Hall 'P 3 -2"'
loop_
_atom_site_label
_atom_site_fract_x
_atom_site_fract_y
_atom_site_fract_z
_atom_site_occupancy
Dy1 0.0000 0.0000 0.0000 1
Dy2 0.0016 0.5008 0.9933 1
Dy3 0.3271 0.1635 0.6670 1
Ho1 0.1651 0.3303 0.3295 1
Cd1 0.3333 0.6667 0.6657 1
```

=====

(11)
RbNbSb2 | PBE-GGA | relaxed

Energy relative to the lowest polymorph listed for this composition = 251 meV/atom

CIF file:
```
data_RbNbSb2
_chemical_formula_sum 'Rb4 Nb4 Sb8'
_cell_length_a 7.665
_cell_length_b 7.665
_cell_length_c 12.786
_cell_angle_alpha 90.00
_cell_angle_beta 90.00
_cell_angle_gamma 90.00
_symmetry_space_group_name_H-M 'I -4 2 d'
_symmetry_Int_Tables_number 122
_symmetry_space_group_name_Hall 'I -4 2bw'
loop_
_atom_site_label
_atom_site_fract_x
_atom_site_fract_y
_atom_site_fract_z
_atom_site_occupancy
Rb1 0.000 0.000 0.000 1
Nb1 0.000 0.000 0.500 1
Sb1 0.113 0.250 0.625 1
```

=====

(12)
Zr2TcOs | PBE-GGA | relaxed

DFT total energy = -9.651 eV/atom

CIF file:
```
data_Zr2TcOs
_chemical_formula_sum 'Zr2 Tc1 Os1'
_cell_length_a 3.272
_cell_length_b 3.272
_cell_length_c 6.715
_cell_angle_alpha 90.00
_cell_angle_beta 90.00
_cell_angle_gamma 90.00
_symmetry_space_group_name_H-M 'P 4 m m'
_symmetry_Int_Tables_number 99
_symmetry_space_group_name_Hall 'P 4 -2'
loop_
_atom_site_label
_atom_site_fract_x
_atom_site_fract_y
_atom_site_fract_z
_atom_site_occupancy
Zr1 0.000 0.000 0.000 1
Zr2 0.500 0.500 0.291 1
Tc1 0.500 0.500 0.759 1
Os1 0.000 0.000 0.531 1
```

=====

Number 1: V 54.0 Å³/f.u., calculated density 5.32 Mg/m³. Number 2: V 221.2 Å³/f.u., calculated density 4.29 Mg/m³. Number 3: V 126.2 Å³/f.u., calculated density 11.40 Mg/m³. Number 4: V 106.8 Å³/f.u., calculated density 8.40 Mg/m³. Number 5: V 227.1 Å³/f.u., calculated density 4.77 Mg/m³. Number 6: V 122.7 Å³/f.u., calculated density 7.18 Mg/m³. Number 7: V 105.7 Å³/f.u., calculated density 9.87 Mg/m³. Number 8: V 82.9 Å³/f.u., calculated density 12.62 Mg/m³. Number 9: V 131.8 Å³/f.u., calculated density 5.66 Mg/m³. Number 10: V 352.9 Å³/f.u., calculated density 8.21 Mg/m³. Number 11: V 187.8 Å³/f.u., calculated density 3.73 Mg/m³. Number 12: V 71.9 Å³/f.u., calculated density 10.87 Mg/m³.